[1]
First-principles (GGA-PBE) data for crystalline Pm2HgPbO5 at its relaxed geometry, as listed in Alexandria.

Structure (POSCAR):
```
Pm2HgPbO5
1.0
-2.2973 0.3454 5.9039
2.3688 -6.2898 1.2898
5.9231 2.6713 2.1485
O Pm Hg Pb
10 4 2 2
Direct
0.7277 0.6334 0.8666 O
0.2723 0.3666 0.1334 O
0.2723 0.6334 0.8666 O
0.7277 0.8666 0.3666 O
0.7277 0.1334 0.6334 O
0.2723 0.8666 0.3666 O
0.7277 0.3666 0.1334 O
0.5000 0.5000 0.5000 O
0.5000 0.0000 0.0000 O
0.2723 0.1334 0.6334 O
0.5000 0.3212 0.8212 Pm
0.5000 0.6788 0.1788 Pm
0.5000 0.8212 0.6788 Pm
0.5000 0.1788 0.3212 Pm
0.0000 0.0000 0.0000 Hg
0.0000 0.5000 0.5000 Hg
0.0000 0.5000 0.0000 Pb
0.0000 0.0000 0.5000 Pb
```

Results
- Total magnetic moment: 0.0 Bohr magnetons per cell
- Formation energy (no corrections): -1.88 eV/atom
- Mass density: 8.69 g/cm³
- Space group: P4/mbm (127)

=====

[2]
First-principles (GGA-PBE) data for crystalline PrHgPb2O4 at its relaxed geometry, as listed in Alexandria.

Structure (POSCAR):
```
PrHgPb2O4
1.0
-3.7126 1.1286 -1.3755
0.6720 -2.0577 -3.5019
-3.9013 -8.0100 3.9579
Pr O Hg Pb
1 4 1 2
Direct
0.0000 0.0000 0.0000 Pr
0.5000 0.0000 0.1452 O
0.5000 0.0000 0.8548 O
0.0000 0.5000 0.1452 O
0.0000 0.5000 0.8548 O
0.0000 0.0000 0.5000 Hg
0.5000 0.5000 0.7474 Pb
0.5000 0.5000 0.2526 Pb
```

Results
- Total magnetic moment: 0.0 Bohr magnetons per cell
- Formation energy (no corrections): -1.56 eV/atom
- Mass density: 8.24 g/cm³
- Space group: P4/mmm (123)

=====

[3]
First-principles (GGA-PBE) data for crystalline HgPtPbO4 at its relaxed geometry, as listed in Alexandria.

Structure (POSCAR):
```
HgPtPbO4
1.0
5.9789 0.0000 0.0000
-2.9894 6.5138 0.0583
0.0000 -3.4650 5.6982
Pt O Pb Hg
2 8 2 2
Direct
0.0000 0.5000 0.5000 Pt
0.5000 0.5000 0.5000 Pt
0.7636 0.0490 0.7745 O
0.7078 0.4155 0.6559 O
0.2855 0.0490 0.7745 O
0.7078 0.4155 0.2597 O
0.7145 0.9510 0.2255 O
0.2922 0.5845 0.7403 O
0.2364 0.9510 0.2255 O
0.2922 0.5845 0.3441 O
0.5000 0.0000 0.0000 Pb
0.5000 0.0000 0.5000 Pb
0.8286 0.6572 0.0786 Hg
0.1714 0.3428 0.9214 Hg
```

Results
- Total magnetic moment: 0.0 Bohr magnetons per cell
- Formation energy (no corrections): -0.46 eV/atom
- Mass density: 9.93 g/cm³
- Space group: Imma (74)

=====

[4]
First-principles (GGA-PBE) data for crystalline PuHgPb2O6 at its relaxed geometry, as listed in Alexandria.

Structure (POSCAR):
```
PuHgPb2O6
1.0
-5.2881 -2.3984 2.3347
-0.4358 -4.0332 5.7760
-1.6969 2.2167 5.3994
O Pb Hg Pu
6 2 1 1
Direct
0.3276 0.6223 0.8846 O
0.3047 0.0101 0.2185 O
0.9676 0.4777 0.8587 O
0.6272 0.2040 0.7402 O
0.0051 0.4284 0.3627 O
0.6647 0.1545 0.2444 O
0.0167 0.1276 0.8098 Pb
0.6156 0.5048 0.2932 Pb
0.8162 0.8161 0.5515 Hg
0.3162 0.3162 0.0515 Pu
```

Results
- Total magnetic moment: 2.0 Bohr magnetons per cell
- Formation energy (no corrections): -1.55 eV/atom
- Mass density: 8.69 g/cm³
- Space group: P-1 (2)

=====

Number 1: uncorrected energy -110.42 eV for the cell shown. Number 2: uncorrected energy -44.81 eV for the cell shown. Number 3: uncorrected energy -66.20 eV for the cell shown. Number 4: uncorrected energy -67.31 eV for the cell shown.